MgBr2O6 | SCAN | single point on PBEsol structure

Output
* magnetization: 0.00 μB per formula unit
* calculated volume: 157 Å³/f.u.
* space-group type: C2/m, No. 12
* raw formation energy: -0.509 eV/atom
* Fermi-level density of states: 0.00 states/eV/f.u.

```
MgBr2O6
1.0
4.882 -2.818 0.000
4.882 2.818 0.000
-2.769 0.000 5.711
Mg Br O
1 2 6
Cartesian
0.000 0.000 0.000
3.254 0.000 0.494
3.742 0.000 5.217
1.733 0.000 1.199
4.015 1.316 1.196
2.980 1.316 4.515
4.015 -1.316 1.196
2.980 -1.316 4.515
5.262 0.000 4.512
```

***

MgBrO3 | SCAN | single point on PBEsol structure

Output
* magnetization: 5.01 μB per formula unit
* calculated volume: 59 Å³/f.u.
* space-group type: Pm-3m, No. 221
* raw formation energy: -0.160 eV/atom
* Fermi-level density of states: 2.18 states/eV/f.u.

```
MgBrO3
1.0
3.894 0.000 0.000
0.000 3.894 0.000
0.000 0.000 3.894
Mg Br O
1 1 3
Cartesian
0.000 0.000 0.000
1.947 1.947 1.947
0.000 0.000 1.947
0.000 1.947 0.000
1.947 0.000 0.000
```